Cs3KTe GGA-PBE relaxed; polymorph energy (0 for the lowest one) = 0 meV/atom; DOS(E_F) = 0.14 states/eV/atom
1.0
7.522 0.000 0.000
0.000 7.522 0.000
0.000 0.000 7.522
Cs K Te
3 1 1
Direct
0.000 0.000 0.500
0.000 0.500 0.000
0.500 0.000 0.000
0.500 0.500 0.500
0.000 0.000 0.000

---

CsK4Te4 GGA-PBE relaxed; DOS(E_F) = 0.57 states/eV/atom; raw total energy = -2.77 eV per atom
1.0
11.337 0.000 0.000
0.000 11.337 0.000
0.000 0.000 6.993
Cs K Te
2 8 8
Direct
0.250 0.250 0.250
0.750 0.750 0.750
0.095 0.635 0.133
0.135 0.905 0.633
0.365 0.595 0.633
0.405 0.865 0.133
0.595 0.135 0.867
0.635 0.405 0.367
0.865 0.095 0.367
0.905 0.365 0.867
0.053 0.594 0.629
0.094 0.947 0.129
0.406 0.553 0.129
0.447 0.906 0.629
0.553 0.094 0.371
0.594 0.447 0.871
0.906 0.053 0.871
0.947 0.406 0.371

---

CsKTe5 GGA-PBE relaxed; DOS(E_F) = 0.46 states/eV/atom; raw total energy = -2.96 eV per atom
1.0
4.086 -5.976 0.000
4.086 5.976 0.000
-2.728 0.000 12.173
Cs K Te
2 2 10
Direct
0.193 0.807 0.750
0.807 0.193 0.250
0.000 0.500 0.000
0.500 0.000 0.500
0.099 0.222 0.555
0.108 0.892 0.250
0.222 0.099 0.055
0.475 0.501 0.868
0.499 0.525 0.632
0.501 0.475 0.368
0.525 0.499 0.132
0.778 0.901 0.945
0.892 0.108 0.750
0.901 0.778 0.445

---

CsKTe2 GGA-PBE relaxed; polymorph energy (0 for the lowest one) = 212 meV/atom; DOS(E_F) = 1.06 states/eV/atom
1.0
2.083 1.203 11.167
-2.083 1.203 11.167
0.000 -2.405 11.167
Cs K Te
1 1 2
Direct
0.000 0.000 0.000
0.500 0.500 0.500
0.245 0.245 0.245
0.755 0.755 0.755

---

Cs2K2Te GGA-PBE relaxed; polymorph energy (0 for the lowest one) = 51 meV/atom; DOS(E_F) = 0.07 states/eV/atom
1.0
9.641 0.000 0.000
0.000 9.641 0.000
0.000 0.000 7.756
Cs K Te
4 4 2
Direct
0.155 0.345 0.000
0.345 0.845 0.000
0.655 0.155 0.000
0.845 0.655 0.000
0.177 0.677 0.500
0.323 0.177 0.500
0.677 0.823 0.500
0.823 0.323 0.500
0.000 0.000 0.000
0.500 0.500 0.000

---

CsKTe GGA-PBE relaxed; raw total energy = -2.58 eV per atom
1.0
-2.471 2.471 5.514
2.471 -2.471 5.514
2.471 2.471 -5.514
Cs K Te
1 1 1
Direct
0.000 0.000 0.000
0.694 0.694 0.000
0.342 0.342 0.000

---

Cs4KTh3Te8 GGA-PBE relaxed; DOS(E_F) = 0.41 states/eV/atom; raw total energy = -4.45 eV per atom
1.0
4.747 2.741 8.898
-4.747 2.741 8.898
0.000 -5.482 8.898
Cs K Th Te
4 1 3 8
Direct
0.000 0.000 0.000
0.000 0.500 0.500
0.500 0.000 0.500
0.500 0.500 0.000
0.500 0.500 0.500
0.000 0.000 0.500
0.000 0.500 0.000
0.500 0.000 0.000
0.207 0.744 0.744
0.231 0.231 0.231
0.256 0.256 0.793
0.256 0.793 0.256
0.744 0.207 0.744
0.744 0.744 0.207
0.769 0.769 0.769
0.793 0.256 0.256

---

CsK3Th2Te6 GGA-PBE relaxed; raw total energy = -4.35 eV per atom
1.0
10.694 -2.359 0.000
10.694 2.359 0.000
-2.391 0.000 10.052
Cs K Th Te
1 3 2 6
Direct
0.000 0.000 0.000
0.000 0.000 0.500
0.346 0.346 0.170
0.654 0.654 0.830
0.333 0.333 0.662
0.667 0.667 0.338
0.177 0.177 0.557
0.180 0.180 0.140
0.477 0.477 0.720
0.523 0.523 0.280
0.820 0.820 0.860
0.823 0.823 0.443

---

Number 5 is which compound? Cs2K2Te

---

Copy entry 4 word for word.
CsKTe2 GGA-PBE relaxed; polymorph energy (0 for the lowest one) = 212 meV/atom; DOS(E_F) = 1.06 states/eV/atom
1.0
2.083 1.203 11.167
-2.083 1.203 11.167
0.000 -2.405 11.167
Cs K Te
1 1 2
Direct
0.000 0.000 0.000
0.500 0.500 0.500
0.245 0.245 0.245
0.755 0.755 0.755